Here is a relaxed structure of Nd7Y6Tm16 from Alexandria. Energies are from PBE.

* ΔE_f: 250 meV per atom

```
data_Nd7Y6Tm16
_cell_length_a 15.775
_cell_length_b 15.775
_cell_length_c 15.775
_cell_angle_alpha 90.00
_cell_angle_beta 90.00
_cell_angle_gamma 90.00
_space_group_name_H-M_alt 'F m -3 m'
_space_group_IT_number 225
_space_group_name_Hall '-F 4 2 3'
loop_
_atom_site_label
_atom_site_fract_x
_atom_site_fract_y
_atom_site_fract_z
_atom_site_occupancy
Nd1 0.000 0.000 0.000 1
Nd2 0.000 0.250 0.250 1
Y1 0.000 0.000 0.264 1
Tm1 0.128 0.128 0.128 1
Tm2 0.152 0.152 0.348 1
```